[1]
# MnRu4 (PBE-GGA, optimized geometry)
data_MnRu4
_chemical_formula_sum 'Mn1 Ru4'
_cell_length_a 6.293
_cell_length_b 6.293
_cell_length_c 6.293
_cell_angle_alpha 145.22
_cell_angle_beta 145.22
_cell_angle_gamma 50.01
_space_group_name_H-M_alt 'P 1'
_space_group_IT_number 1
loop_
_space_group_symop_operation_xyz
'x,y,z'
loop_
_atom_site_label
_atom_site_fract_x
_atom_site_fract_y
_atom_site_fract_z
Mn1 0.000 0.000 0.000
Ru1 0.250 0.750 0.500
Ru2 0.601 0.601 0.000
Ru3 0.399 0.399 0.000
Ru4 0.750 0.250 0.500
# Excess energy over the best structure of this formula in the dataset = 0.482 eV per atom
# Fermi-level density of states = 6.3 states/eV per cell

[2]
# MnRu (PBE-GGA, optimized geometry)
data_MnRu
_chemical_formula_sum 'Mn6 Ru6'
_cell_length_a 4.235
_cell_length_b 4.235
_cell_length_c 10.456
_cell_angle_alpha 90.00
_cell_angle_beta 90.00
_cell_angle_gamma 120.00
_space_group_name_H-M_alt 'P 1'
_space_group_IT_number 1
loop_
_space_group_symop_operation_xyz
'x,y,z'
loop_
_atom_site_label
_atom_site_fract_x
_atom_site_fract_y
_atom_site_fract_z
Ru1 0.000 0.000 0.367
Ru2 0.000 0.000 0.633
Ru3 0.333 0.667 0.698
Ru4 0.333 0.667 0.939
Ru5 0.667 0.333 0.061
Ru6 0.667 0.333 0.302
Mn1 0.000 0.000 0.117
Mn2 0.000 0.000 0.883
Mn3 0.333 0.667 0.454
Mn4 0.333 0.667 0.194
Mn5 0.667 0.333 0.806
Mn6 0.667 0.333 0.546
# Fermi-level density of states = 18.4 states/eV per cell

[3]
# Mn2Ru (PBE-GGA, optimized geometry)
data_Mn2Ru
_chemical_formula_sum 'Mn4 Ru2'
_cell_length_a 4.159
_cell_length_b 4.159
_cell_length_c 5.110
_cell_angle_alpha 90.00
_cell_angle_beta 90.00
_cell_angle_gamma 120.00
_space_group_name_H-M_alt 'P 1'
_space_group_IT_number 1
loop_
_space_group_symop_operation_xyz
'x,y,z'
loop_
_atom_site_label
_atom_site_fract_x
_atom_site_fract_y
_atom_site_fract_z
Mn1 0.000 0.000 0.000
Mn2 0.000 0.000 0.500
Mn3 0.333 0.667 0.250
Mn4 0.667 0.333 0.750
Ru1 0.333 0.667 0.750
Ru2 0.667 0.333 0.250
# Fermi-level density of states = 5.0 states/eV per cell

[4]
# Mn7Ru (PBE-GGA, optimized geometry)
data_Mn7Ru
_chemical_formula_sum 'Mn7 Ru1'
_cell_length_a 5.056
_cell_length_b 5.056
_cell_length_c 5.056
_cell_angle_alpha 60.00
_cell_angle_beta 60.00
_cell_angle_gamma 60.00
_space_group_name_H-M_alt 'P 1'
_space_group_IT_number 1
loop_
_space_group_symop_operation_xyz
'x,y,z'
loop_
_atom_site_label
_atom_site_fract_x
_atom_site_fract_y
_atom_site_fract_z
Mn1 0.000 0.500 0.500
Mn2 0.500 0.000 0.500
Mn3 0.500 0.500 0.000
Mn4 0.000 0.000 0.500
Mn5 0.000 0.500 0.000
Mn6 0.500 0.000 0.000
Mn7 0.500 0.500 0.500
Ru1 0.000 0.000 0.000
# Fermi-level density of states = 12.5 states/eV per cell

[5]
# MnRu3 (PBE-GGA, optimized geometry)
data_MnRu3
_chemical_formula_sum 'Mn1 Ru3'
_cell_length_a 3.771
_cell_length_b 4.636
_cell_length_c 3.771
_cell_angle_alpha 66.00
_cell_angle_beta 90.00
_cell_angle_gamma 114.00
_space_group_name_H-M_alt 'P 1'
_space_group_IT_number 1
loop_
_space_group_symop_operation_xyz
'x,y,z'
loop_
_atom_site_label
_atom_site_fract_x
_atom_site_fract_y
_atom_site_fract_z
Mn1 0.000 0.000 0.000
Ru1 0.250 0.500 0.250
Ru2 0.500 0.000 0.500
Ru3 0.750 0.500 0.750
# Fermi-level density of states = 4.5 states/eV per cell

[6]
# MnRu (PBE-GGA, optimized geometry)
data_MnRu
_chemical_formula_sum 'Mn4 Ru4'
_cell_length_a 4.580
_cell_length_b 4.134
_cell_length_c 5.239
_cell_angle_alpha 90.00
_cell_angle_beta 90.00
_cell_angle_gamma 90.00
_space_group_name_H-M_alt 'P 1'
_space_group_IT_number 1
loop_
_space_group_symop_operation_xyz
'x,y,z'
loop_
_atom_site_label
_atom_site_fract_x
_atom_site_fract_y
_atom_site_fract_z
Mn1 0.079 0.250 0.123
Mn2 0.421 0.750 0.623
Mn3 0.579 0.250 0.377
Mn4 0.921 0.750 0.877
Ru1 0.092 0.250 0.627
Ru2 0.408 0.750 0.127
Ru3 0.592 0.250 0.873
Ru4 0.908 0.750 0.373
# Fermi-level density of states = 7.7 states/eV per cell

[7]
# Mn2Ru (PBE-GGA, optimized geometry)
data_Mn2Ru
_chemical_formula_sum 'Mn4 Ru2'
_cell_length_a 2.618
_cell_length_b 6.789
_cell_length_c 4.089
_cell_angle_alpha 90.00
_cell_angle_beta 90.00
_cell_angle_gamma 78.88
_space_group_name_H-M_alt 'P 1'
_space_group_IT_number 1
loop_
_space_group_symop_operation_xyz
'x,y,z'
loop_
_atom_site_label
_atom_site_fract_x
_atom_site_fract_y
_atom_site_fract_z
Mn1 0.000 0.999 0.000
Mn2 0.221 0.558 0.500
Mn3 0.335 0.331 0.000
Mn4 0.555 0.890 0.500
Ru1 0.667 0.665 0.000
Ru2 0.888 0.224 0.500
# Fermi-level density of states = 6.6 states/eV per cell

[8]
# Mn2Ru (PBE-GGA, optimized geometry)
data_Mn2Ru
_chemical_formula_sum 'Mn4 Ru2'
_cell_length_a 5.952
_cell_length_b 5.952
_cell_length_c 3.757
_cell_angle_alpha 90.00
_cell_angle_beta 90.00
_cell_angle_gamma 144.71
_space_group_name_H-M_alt 'P 1'
_space_group_IT_number 1
loop_
_space_group_symop_operation_xyz
'x,y,z'
loop_
_atom_site_label
_atom_site_fract_x
_atom_site_fract_y
_atom_site_fract_z
Mn1 0.590 0.410 0.750
Mn2 0.410 0.590 0.250
Mn3 0.251 0.749 0.750
Mn4 0.749 0.251 0.250
Ru1 0.910 0.090 0.750
Ru2 0.090 0.910 0.250
# Fermi-level density of states = 6.6 states/eV per cell

[9]
# MnRu4 (PBE-GGA, optimized geometry)
data_MnRu4
_chemical_formula_sum 'Mn1 Ru4'
_cell_length_a 4.651
_cell_length_b 4.651
_cell_length_c 4.651
_cell_angle_alpha 99.51
_cell_angle_beta 99.51
_cell_angle_gamma 132.03
_space_group_name_H-M_alt 'P 1'
_space_group_IT_number 1
loop_
_space_group_symop_operation_xyz
'x,y,z'
loop_
_atom_site_label
_atom_site_fract_x
_atom_site_fract_y
_atom_site_fract_z
Mn1 0.000 0.000 0.000
Ru1 0.403 0.200 0.603
Ru2 0.597 0.800 0.397
Ru3 0.800 0.403 0.203
Ru4 0.200 0.597 0.797
# Excess energy over the best structure of this formula in the dataset = 0.000 eV per atom
# Fermi-level density of states = 5.9 states/eV per cell

[10]
# MnRu (PBE-GGA, optimized geometry)
data_MnRu
_chemical_formula_sum 'Mn6 Ru6'
_cell_length_a 6.400
_cell_length_b 6.400
_cell_length_c 6.400
_cell_angle_alpha 90.00
_cell_angle_beta 90.00
_cell_angle_gamma 90.00
_space_group_name_H-M_alt 'P 1'
_space_group_IT_number 1
loop_
_space_group_symop_operation_xyz
'x,y,z'
loop_
_atom_site_label
_atom_site_fract_x
_atom_site_fract_y
_atom_site_fract_z
Mn1 0.250 0.500 0.000
Mn2 0.750 0.500 0.000
Mn3 0.500 0.000 0.250
Mn4 0.500 0.000 0.750
Mn5 0.000 0.250 0.500
Mn6 0.000 0.750 0.500
Ru1 0.250 0.000 0.500
Ru2 0.750 0.000 0.500
Ru3 0.000 0.500 0.250
Ru4 0.000 0.500 0.750
Ru5 0.500 0.250 0.000
Ru6 0.500 0.750 0.000
# Fermi-level density of states = 7.6 states/eV per cell

[11]
# Mn3Ru2 (PBE-GGA, optimized geometry)
data_Mn3Ru2
_chemical_formula_sum 'Mn3 Ru2'
_cell_length_a 4.153
_cell_length_b 4.153
_cell_length_c 5.099
_cell_angle_alpha 90.00
_cell_angle_beta 90.00
_cell_angle_gamma 120.00
_space_group_name_H-M_alt 'P 1'
_space_group_IT_number 1
loop_
_space_group_symop_operation_xyz
'x,y,z'
loop_
_atom_site_label
_atom_site_fract_x
_atom_site_fract_y
_atom_site_fract_z
Mn1 0.000 0.000 0.000
Mn2 0.667 0.333 0.638
Mn3 0.333 0.667 0.362
Ru1 0.667 0.333 0.150
Ru2 0.333 0.667 0.850
# Fermi-level density of states = 5.2 states/eV per cell

[12]
# Mn2Ru (PBE-GGA, optimized geometry)
data_Mn2Ru
_chemical_formula_sum 'Mn8 Ru4'
_cell_length_a 4.666
_cell_length_b 4.666
_cell_length_c 7.586
_cell_angle_alpha 90.00
_cell_angle_beta 90.00
_cell_angle_gamma 120.00
_space_group_name_H-M_alt 'P 1'
_space_group_IT_number 1
loop_
_space_group_symop_operation_xyz
'x,y,z'
loop_
_atom_site_label
_atom_site_fract_x
_atom_site_fract_y
_atom_site_fract_z
Mn1 0.000 0.000 0.000
Mn2 0.000 0.000 0.500
Mn3 0.826 0.652 0.250
Mn4 0.174 0.348 0.750
Mn5 0.348 0.174 0.250
Mn6 0.826 0.174 0.250
Mn7 0.174 0.826 0.750
Mn8 0.652 0.826 0.750
Ru1 0.333 0.667 0.068
Ru2 0.667 0.333 0.568
Ru3 0.667 0.333 0.932
Ru4 0.333 0.667 0.432
# Fermi-level density of states = 15.1 states/eV per cell

Number 1: E_form 0.569 eV per atom. Number 2: E_form 0.314 eV per atom. Number 3: E_form 0.116 eV per atom. Number 4: E_form 0.098 eV per atom. Number 5: E_form 0.082 eV per atom. Number 6: E_form 0.024 eV per atom. Number 7: E_form 0.043 eV per atom. Number 8: E_form 0.033 eV per atom. Number 9: E_form 0.088 eV per atom. Number 10: E_form 1.528 eV per atom. Number 11: E_form 0.429 eV per atom. Number 12: E_form 0.019 eV per atom.